Entry from the Alexandria database: a relaxed CeEr2Th crystal (PBE-GGA).

The distance to the lowest polymorph of the same formula is 178 meV/atom. Its total energy is -5.39 eV per atom.

The space group is P2_1/m (No. 11) and the conventional cell measures 4.763, 4.767 and 11.217 Å, with angles of 90.00, 101.82 and 90.00 degrees. Symmetry generates all atoms from Ce at (0.177, 0.250, 0.367), Er at (0.057, 0.750, 0.119), Er at (0.442, 0.750, 0.879) and Th at (0.322, 0.250, 0.633).